# LiEuPt | the Alexandria database | PBE-GGA | optimized geometry
# spin magnetization	7.131	μB/f.u.
# E above lowest polymorph	0.000	eV/atom
data_LiEuPt
_space_group_name_H-M_alt 'P -6 m 2'
_space_group_IT_number 187
_space_group_name_Hall 'P -6 2'
_cell_length_a 4.3628
_cell_length_b 4.3628
_cell_length_c 3.9634
_cell_angle_alpha 90.00
_cell_angle_beta 90.00
_cell_angle_gamma 120.00
loop_
_atom_site_label
_atom_site_fract_x
_atom_site_fract_y
_atom_site_fract_z
Li1 0.0000 0.0000 0.0000
Eu1 0.6667 0.3333 0.5000
Pt1 0.3333 0.6667 0.0000